Record 1
Computed, not measured: crystalline GdH5 at its relaxed geometry at the PBE-GGA level of DFT.

## Properties
The total energy comes out at -4.95 eV/atom. The space group is No. 65. The total magnetic moment is 1.153 μB/atom.

abc: 3.375 3.315 4.029
angles: 114.29 90.00 90.00
Last column: magnetic moment on the atom in μB.
Fractional coordinates of all 6 atoms:
H 0.500 0.755 0.509  -0.01
H 0.000 0.699 0.397  -0.02
H 0.500 0.500 0.000  -0.01
H 0.000 0.301 0.603  -0.02
H 0.500 0.245 0.491  -0.01
Gd 0.000 0.000 0.000  6.93

=====

Record 2
Computed, not measured: crystalline GdH2 at its relaxed geometry at the PBE-GGA level of DFT.

## Properties
The total energy comes out at -6.40 eV/atom. The space group is No. 227. The total magnetic moment is 2.512 μB/atom.

abc: 4.660 4.660 4.660
angles: 60.00 60.00 60.00
Last column: magnetic moment on the atom in μB.
Fractional coordinates of all 6 atoms:
H 0.125 0.625 0.625  -0.03
H 0.625 0.125 0.625  -0.03
H 0.625 0.625 0.625  -0.03
H 0.625 0.625 0.125  -0.03
Gd 0.000 0.000 0.000  7.42
Gd 0.250 0.250 0.250  7.42